# 1
The following is a GGA-PBE calculation of a geometry-optimized Y4Pt structure, from Alexandria.

The calculation puts the total energy at -137.1 eV per cell. The value obtained for the volume is 30.18 Å³/atom. The value obtained for the polymorph energy (0 for the lowest one) is 18 meV/atom.

The structure belongs to space group I-42d (No. 122); the cell edges are 8.796, 8.796 and 7.803 Å and the angles 90.00°, 90.00° and 90.00°. The distinct sites, in fractional coordinates, are Y at (0.036, 0.198, 0.341) and Pt at (0.000, 0.000, 0.000).

# 2
The following is a GGA-PBE calculation of a geometry-optimized CdHgPb structure, from Alexandria.

The calculation puts the total energy at -19.2 eV per cell. The value obtained for the volume is 27.33 Å³/atom.

The structure belongs to space group Fmm2 (No. 42); the cell edges are 3.454, 5.900 and 16.092 Å and the angles 90.00°, 90.00° and 90.00°. The distinct sites, in fractional coordinates, are Cd at (0.000, 0.000, 0.000), Hg at (0.000, 0.000, 0.344) and Pb at (0.000, 0.000, 0.671).

# 3
The following is a GGA-PBE calculation of a geometry-optimized Pr3CoI3 structure, from Alexandria.

The calculation puts the total energy at -65.2 eV per cell. The value obtained for the volume is 35.93 Å³/atom.

The structure belongs to space group P2_1/m (No. 11); the cell edges are 9.385, 4.358 and 12.314 Å and the angles 90.00°, 93.02° and 90.00°. The distinct sites, in fractional coordinates, are Pr at (0.096, 0.250, 0.399), Pr at (0.111, 0.250, 0.826), Pr at (0.307, 0.750, 0.616), Co at (0.112, 0.250, 0.619), I at (0.133, 0.250, 0.119), I at (0.362, 0.750, 0.878) and I at (0.392, 0.750, 0.362).

# 4
The following is a GGA-PBE calculation of a geometry-optimized SbMoPt2 structure, from Alexandria.

The calculation puts the total energy at -54.2 eV per cell. The value obtained for the volume is 17.19 Å³/atom.

The structure belongs to space group C2/m (No. 12); the cell edges are 9.546, 3.099 and 4.700 Å and the angles 90.00°, 98.52° and 90.00°. The distinct sites, in fractional coordinates, are Sb at (0.000, 0.000, 0.000), Mo at (0.000, 0.500, 0.500) and Pt at (0.241, 0.000, 0.735).

# 5
The following is a GGA-PBE calculation of a geometry-optimized Zr2PdSe2 structure, from Alexandria.

The calculation puts the total energy at -67.1 eV per cell. The value obtained for the volume is 19.77 Å³/atom. The value obtained for the polymorph energy (0 for the lowest one) is 20 meV/atom.

The structure belongs to space group P4/mbm (No. 127); the cell edges are 7.486, 7.486 and 3.527 Å and the angles 90.00°, 90.00° and 90.00°. The distinct sites, in fractional coordinates, are Zr at (0.151, 0.349, 0.000), Pd at (0.000, 0.000, 0.000) and Se at (0.144, 0.644, 0.500).

# 6
The following is a GGA-PBE calculation of a geometry-optimized Sm3Sn3Au structure, from Alexandria.

The calculation puts the total energy at -139.4 eV per cell. The value obtained for the volume is 27.14 Å³/atom.

The structure belongs to space group C2/m (No. 12); the cell edges are 11.493, 4.621 and 15.166 Å and the angles 90.00°, 109.33° and 90.00°. The distinct sites, in fractional coordinates, are Sm at (0.027, 0.000, 0.380), Sm at (0.101, 0.000, 0.924), Sm at (0.234, 0.000, 0.229), Sn at (0.013, 0.500, 0.229), Sn at (0.126, 0.500, 0.076), Sn at (0.139, 0.500, 0.544) and Au at (0.232, 0.500, 0.384).

# 7
The following is a GGA-PBE calculation of a geometry-optimized VSiP structure, from Alexandria.

The calculation puts the total energy at -62.7 eV per cell. The value obtained for the volume is 14.77 Å³/atom.

The structure belongs to space group R3m (No. 160, hexagonal axes); the cell edges are 3.0482, 3.0482 and 16.5178 Å and the angles 90.00°, 90.00° and 120.00°. The distinct sites, in fractional coordinates, are V at (0.0000, 0.0000, 0.0000), Si at (0.0000, 0.0000, 0.5608) and P at (0.0000, 0.0000, 0.4254).

# 8
The following is a GGA-PBE calculation of a geometry-optimized SbIrAu2F structure, from Alexandria.

The calculation puts the total energy at -18.4 eV per cell. The value obtained for the volume is 19.09 Å³/atom.

The structure belongs to space group P4/mmm (No. 123); the cell edges are 4.797, 4.797 and 4.147 Å and the angles 90.00°, 90.00° and 90.00°. The distinct sites, in fractional coordinates, are Sb at (0.000, 0.000, 0.000), Ir at (0.500, 0.500, 0.000), Au at (0.000, 0.500, 0.500) and F at (0.500, 0.500, 0.500).

# 9
The following is a GGA-PBE calculation of a geometry-optimized LaMg6Co structure, from Alexandria.

The calculation puts the total energy at -41.5 eV per cell. The value obtained for the volume is 23.43 Å³/atom. The value obtained for the polymorph energy (0 for the lowest one) is 7 meV/atom.

The structure belongs to space group Amm2 (No. 38); the cell edges are 4.407, 6.170 and 13.784 Å and the angles 90.00°, 90.00° and 90.00°. The distinct sites, in fractional coordinates, are La at (0.000, 0.000, 0.000), Mg at (0.000, 0.000, 0.413), Mg at (0.000, 0.244, 0.200), Mg at (0.500, 0.000, 0.580), Mg at (0.500, 0.243, 0.830) and Co at (0.500, 0.000, 0.149).

# 10
The following is a GGA-PBE calculation of a geometry-optimized InGe6S8 structure, from Alexandria.

The calculation puts the total energy at -195.1 eV per cell. The value obtained for the volume is 26.93 Å³/atom.

The structure belongs to space group R-3 (No. 148, hexagonal axes); the cell edges are 10.6837, 10.6837 and 12.2609 Å and the angles 90.00°, 90.00° and 120.00°. The distinct sites, in fractional coordinates, are In at (0.0000, 0.0000, 0.0000), Ge at (0.0269, 0.8305, 0.3767), S at (0.0000, 0.0000, 0.2548) and S at (0.0044, 0.2887, 0.4057).

# 11
The following is a GGA-PBE calculation of a geometry-optimized Ac2CuRh2 structure, from Alexandria.

The calculation puts the total energy at -118.1 eV per cell. The value obtained for the volume is 24.44 Å³/atom.

The structure belongs to space group C2/m (No. 12); the cell edges are 11.366, 4.354 and 11.036 Å and the angles 90.00°, 116.46° and 90.00°. The distinct sites, in fractional coordinates, are Ac at (0.095, 0.000, 0.400), Ac at (0.200, 0.500, 0.145), Cu at (0.080, 0.500, 0.817), Rh at (0.042, 0.000, 0.908) and Rh at (0.134, 0.500, 0.610).

# 12
The following is a GGA-PBE calculation of a geometry-optimized Rb3Nd3SnTe8 structure, from Alexandria.

The calculation puts the total energy at -125.9 eV per cell. The value obtained for the volume is 42.12 Å³/atom.

The structure belongs to space group C2/m (No. 12); the cell edges are 15.771, 9.089 and 10.266 Å and the angles 90.00°, 120.84° and 90.00°. The distinct sites, in fractional coordinates, are Rb at (0.000, 0.000, 0.000), Rb at (0.250, 0.250, 0.000), Nd at (0.000, 0.500, 0.500), Nd at (0.250, 0.250, 0.500), Sn at (0.000, 0.000, 0.500), Te at (0.014, 0.239, 0.303), Te at (0.225, 0.000, 0.697) and Te at (0.235, 0.500, 0.705).